# 1
A plane-wave DFT calculation with PBE-GGA was carried out for crystalline Hf2InP at its relaxed geometry.

Output
Energy (eV/cell): -106.699
DFT formation energy (kcal/mol of atoms): 7.96
Polymorph energy (0 for the lowest one) (eV/atom): 1.074
V (Å³ per atom): 28.7
Magnetization (μB/cell): 0.00

Cell lengths 5.8291, 5.8291, 13.4945 Å; angles 90.00, 90.00, 90.00 degrees
Space group I-42d (No. 122)
Asymmetric unit:
Hf1 0.1890 0.2500 0.1250 (multiplicity 8)
In1 0.0000 0.0000 0.5000 (multiplicity 4)
P1 0.0000 0.0000 0.0000 (multiplicity 4)


# 2
A plane-wave DFT calculation with PBE-GGA was carried out for crystalline HfInP3 at its relaxed geometry.

Output
Energy (eV/cell): -27.871
DFT formation energy (kcal/mol of atoms): 4.84
Polymorph energy (0 for the lowest one) (eV/atom): 0.000
V (Å³ per atom): 25.1
Magnetization (μB/cell): 0.00

Cell lengths 5.0093, 5.0093, 5.0093 Å; angles 90.00, 90.00, 90.00 degrees
Space group Pm-3m (No. 221)
Asymmetric unit:
Hf1 0.0000 0.0000 0.0000 (multiplicity 1)
In1 0.5000 0.5000 0.5000 (multiplicity 1)
P1 0.0000 0.0000 0.5000 (multiplicity 3)


# 3
A plane-wave DFT calculation with PBE-GGA was carried out for crystalline Hf2InP at its relaxed geometry.

Output
Energy (eV/cell): -114.332
DFT formation energy (kcal/mol of atoms): -3.04
Polymorph energy (0 for the lowest one) (eV/atom): 0.596
V (Å³ per atom): 19.5
Magnetization (μB/cell): 0.00

Cell lengths 6.7769, 6.7769, 6.7769 Å; angles 90.00, 90.00, 90.00 degrees
Space group Fm-3m (No. 225)
Asymmetric unit:
Hf1 0.2500 0.2500 0.2500 (multiplicity 8)
In1 0.0000 0.0000 0.0000 (multiplicity 4)
P1 0.0000 0.0000 0.5000 (multiplicity 4)


# 4
A plane-wave DFT calculation with PBE-GGA was carried out for crystalline Hf2InP at its relaxed geometry.

Output
Energy (eV/cell): -92.766
DFT formation energy (kcal/mol of atoms): -16.53
Polymorph energy (0 for the lowest one) (eV/atom): 0.012
V (Å³ per atom): 20.8
Magnetization (μB/cell): 0.00

Cell lengths 3.5420, 3.5420, 23.0040 Å; angles 90.00, 90.00, 120.00 degrees
Space group R-3m (No. 166, hexagonal axes)
Asymmetric unit:
Hf1 0.0000 0.0000 0.2306 (multiplicity 6)
In1 0.0000 0.0000 0.0000 (multiplicity 3)
P1 0.0000 0.0000 0.5000 (multiplicity 3)